Compound: Dy3MgAg4
Source: Alexandria
Functional: PBE
Structure: relaxed

Space-group type   P4/mmm (123)

Cell lengths 5.0382, 5.0382, 7.1844 Å; angles 90.00, 90.00, 90.00 degrees
Last column: nearest neighbours and their distance in Å.
Positions (direct):
Dy 0.0000 0.0000 0.0000  8 Ag 3.12
Dy 0.0000 0.0000 0.5000  8 Ag 3.07
Dy 0.5000 0.5000 0.0000  8 Ag 3.12
Mg 0.5000 0.5000 0.5000  8 Ag 3.07
Ag 0.0000 0.5000 0.2566  6 Dy 3.07-3.12, 2 Mg 3.07
Ag 0.0000 0.5000 0.7434  6 Dy 3.07-3.12, 2 Mg 3.07
Ag 0.5000 0.0000 0.2566  6 Dy 3.07-3.12, 2 Mg 3.07
Ag 0.5000 0.0000 0.7434  6 Dy 3.07-3.12, 2 Mg 3.07

Compound: Dy3Mg4Ag4
Source: Alexandria
Functional: PBE
Structure: relaxed

Space-group type   Immm (71)

Cell lengths 9.0581, 9.0581, 9.0581 Å; angles 154.56, 126.06, 60.55 degrees
Last column: nearest neighbours and their distance in Å.
Positions (direct):
Dy 0.0000 0.0000 0.0000  4 Ag 3.20
Dy 0.3865 0.8865 0.5000  6 Ag 3.07-3.12, 4 Mg 3.35
Dy 0.6135 0.1135 0.5000  6 Ag 3.07-3.12, 4 Mg 3.35
Mg 0.0212 0.3302 0.6910  4 Ag 2.75-2.93
Mg 0.3608 0.6698 0.6910  4 Ag 2.75-2.93
Mg 0.6392 0.3302 0.3090  4 Ag 2.75-2.93
Mg 0.9788 0.6698 0.3090  4 Ag 2.75-2.93
Ag 0.2373 0.2373 0.0000  6 Mg 2.75-2.93, 2 Dy 3.07
Ag 0.3040 0.5000 0.8040  2 Mg 2.81, 4 Dy 3.12
Ag 0.6960 0.5000 0.1960  2 Mg 2.81, 4 Dy 3.12
Ag 0.7627 0.7627 0.0000  6 Mg 2.75-2.93, 2 Dy 3.07

Compound: DyMg10Ag2
Source: Alexandria
Functional: PBE
Structure: relaxed

Space-group type   Fmmm (69)

Cell lengths 10.0814, 7.6974, 7.6613 Å; angles 82.05, 49.13, 48.82 degrees
Last column: nearest neighbours and their distance in Å.
Positions (direct):
Dy 0.0000 0.0000 0.0000  16 Mg 3.49-3.85, 4 Ag 3.83
Mg 0.0000 0.5000 0.0000  10 Mg 2.86-3.15
Mg 0.0123 0.6540 0.3460  2 Ag 2.96, 6 Mg 3.12-3.16
Mg 0.2889 0.5068 0.4932  2 Ag 2.86, 7 Mg 2.92-3.16
Mg 0.3460 0.9877 0.0123  2 Ag 2.96, 6 Mg 3.12-3.16
Mg 0.4932 0.7111 0.2889  2 Ag 2.86, 7 Mg 2.92-3.16
Mg 0.5000 0.0000 0.5000  10 Mg 2.86-3.15
Mg 0.5068 0.2889 0.7111  2 Ag 2.86, 7 Mg 2.92-3.16
Mg 0.6540 0.0123 0.9877  2 Ag 2.96, 6 Mg 3.12-3.16
Mg 0.7111 0.4932 0.5068  2 Ag 2.86, 7 Mg 2.92-3.16
Mg 0.9877 0.3460 0.6540  2 Ag 2.96, 6 Mg 3.12-3.16
Ag 0.0000 0.0000 0.5000  2 Ag 2.86, 8 Mg 2.86-2.96
Ag 0.5000 0.5000 0.0000  2 Ag 2.86, 8 Mg 2.86-2.96

| no. | formation enthalpy at 0 K (eV/atom) |
| --- | --- |
| 1 | -0.286 |
| 2 | -0.214 |
| 3 | -0.091 |